Material: CsZr3Sb
Method: DFT, PBE
State: relaxed

a = 5.245 Å, b = 5.245 Å, c = 5.245 Å
α = 90.00°, β = 90.00°, γ = 90.00°
Atoms (fractional coordinates):
Cs 0.000 0.000 0.000
Zr 0.000 0.000 0.500
Zr 0.000 0.500 0.000
Zr 0.500 0.000 0.000
Sb 0.500 0.500 0.500

## Properties
**Energy relative to the lowest polymorph listed for this composition**: 870 meV per atom
**D(E_F)**: 7.26 states/eV/f.u.
**Uncorrected energy**: -4.33 eV per atom